## RbTiOs3 (GGA-PBE)

Data for a geometry-optimized RbTiOs3 structure.

The energy above the most stable polymorph in this dataset is 1708 meV/atom. The value obtained for the formation energy from the elements is 3.66 eV per atom. The volume is 101.53 Å³ per cell.

The space group is Pm-3m (No. 221) and the conventional cell measures 4.665, 4.665 and 4.665 Å, with angles of 90.00, 90.00 and 90.00 degrees. The inequivalent atoms are Rb at (0.000, 0.000, 0.000), Ti at (0.500, 0.500, 0.500) and Os at (0.000, 0.000, 0.500).

## ZrReNi2 (GGA-PBE)

Data for a geometry-optimized ZrReNi2 structure.

The energy above the most stable polymorph in this dataset is 0 meV/atom. The value obtained for the formation energy from the elements is -0.11 eV per atom. The volume is 115.23 Å³ per cell.

The space group is Amm2 (No. 38) and the conventional cell measures 4.152, 2.736 and 10.144 Å, with angles of 90.00, 90.00 and 90.00 degrees. The inequivalent atoms are Zr at (0.000, 0.000, 0.000), Re at (0.500, 0.000, 0.318), Ni at (0.000, 0.000, 0.741) and Ni at (0.500, 0.000, 0.605).

## LaI2OF (GGA-PBE)

Data for a geometry-optimized LaI2OF structure.

The energy above the most stable polymorph in this dataset is 697 meV/atom. The volume is 120.54 Å³ per cell. Its energy relative to the elements, uncorrected is -2.532 eV/f.u.

The space group is P4/mmm (No. 123) and the conventional cell measures 4.772, 4.772 and 5.294 Å, with angles of 90.00, 90.00 and 90.00 degrees. The inequivalent atoms are La at (0.000, 0.000, 0.000), I at (0.000, 0.500, 0.500), O at (0.500, 0.500, 0.000) and F at (0.500, 0.500, 0.500).

## LiCu4W (GGA-PBE)

Data for a geometry-optimized LiCu4W structure.

The value obtained for the formation energy from the elements is 0.38 eV per atom. The volume is 313.30 Å³ per cell.

The space group is F-43m (No. 216) and the conventional cell measures 6.792, 6.792 and 6.792 Å, with angles of 90.00, 90.00 and 90.00 degrees. The inequivalent atoms are Li at (0.000, 0.000, 0.000), Cu at (0.125, 0.125, 0.625) and W at (0.250, 0.250, 0.250).

## BaNa2Bi (GGA-PBE)

Data for a geometry-optimized BaNa2Bi structure.

The value obtained for the formation energy from the elements is -0.38 eV per atom. The volume is 149.40 Å³ per cell.

The space group is P4/mmm (No. 123) and the conventional cell measures 5.123, 5.123 and 5.692 Å, with angles of 90.00, 90.00 and 90.00 degrees. The inequivalent atoms are Ba at (0.000, 0.000, 0.000), Na at (0.000, 0.500, 0.500) and Bi at (0.500, 0.500, 0.000).

## Ac2Pm5Ge4 (GGA-PBE)

Data for a geometry-optimized Ac2Pm5Ge4 structure.

The value obtained for the formation energy from the elements is -0.44 eV per atom. The volume is 675.51 Å³ per cell.

The space group is C2/m (No. 12) and the conventional cell measures 13.920, 6.967 and 9.264 Å, with angles of 90.00, 131.25 and 90.00 degrees. The inequivalent atoms are Ac at (0.204, 0.000, 0.152), Pm at (0.000, 0.500, 0.000), Pm at (0.041, 0.237, 0.369), Ge at (0.202, 0.000, 0.787) and Ge at (0.226, 0.500, 0.410).

## Pr2CoBr (GGA-PBE)

Data for a geometry-optimized Pr2CoBr structure.

The energy above the most stable polymorph in this dataset is 3 meV/atom. The volume is 331.58 Å³ per cell. Its energy relative to the elements, uncorrected is -2.850 eV/f.u.

The space group is R-3m (No. 166, hexagonal axes) and the conventional cell measures 4.0254, 4.0254 and 23.6284 Å, with angles of 90.00, 90.00 and 120.00 degrees. The inequivalent atoms are Pr at (0.0000, 0.0000, 0.2310), Co at (0.0000, 0.0000, 0.5000) and Br at (0.0000, 0.0000, 0.0000).

## TlCSeBr2 (GGA-PBE)

Data for a geometry-optimized TlCSeBr2 structure.

The energy above the most stable polymorph in this dataset is 0 meV/atom. The volume is 130.64 Å³ per cell. Its energy relative to the elements, uncorrected is 3.270 eV/f.u.

The space group is P4/mmm (No. 123) and the conventional cell measures 5.723, 5.723 and 3.989 Å, with angles of 90.00, 90.00 and 90.00 degrees. The inequivalent atoms are Tl at (0.000, 0.000, 0.000), C at (0.500, 0.500, 0.500), Se at (0.500, 0.500, 0.000) and Br at (0.000, 0.500, 0.500).

## K2SnMoH (GGA-PBE)

Data for a geometry-optimized K2SnMoH structure.

The volume is 159.16 Å³ per cell. The value obtained for the total DFT energy (no corrections) is -3.224 eV per atom.

The space group is P4/mmm (No. 123) and the conventional cell measures 6.657, 6.657 and 3.592 Å, with angles of 90.00, 90.00 and 90.00 degrees. The inequivalent atoms are K at (0.000, 0.500, 0.000), Sn at (0.000, 0.000, 0.500), Mo at (0.500, 0.500, 0.000) and H at (0.500, 0.500, 0.500).

## Li2Tb2Si3 (GGA-PBE)

Data for a geometry-optimized Li2Tb2Si3 structure.

The volume is 518.50 Å³ per cell. Its energy relative to the elements, uncorrected is -4.287 eV/f.u.

The space group is Cmcm (No. 63) and the conventional cell measures 4.276, 18.084 and 6.706 Å, with angles of 90.00, 90.00 and 90.00 degrees. The inequivalent atoms are Li at (0.000, 0.190, 0.061), Tb at (0.000, 0.343, 0.250), Tb at (0.000, 0.448, 0.750), Si at (0.000, 0.059, 0.572) and Si at (0.000, 0.279, 0.750).

## HPtCl6 (GGA-PBE)

Data for a geometry-optimized HPtCl6 structure.

The volume is 410.99 Å³ per cell. The value obtained for the total DFT energy (no corrections) is -2.641 eV per atom.

The space group is C2/m (No. 12) and the conventional cell measures 7.385, 9.268 and 6.538 Å, with angles of 90.00, 113.32 and 90.00 degrees. The inequivalent atoms are H at (0.000, 0.000, 0.000), Pt at (0.000, 0.000, 0.500), Cl at (0.024, 0.161, 0.237) and Cl at (0.160, 0.500, 0.317).

## La2WAu (GGA-PBE)

Data for a geometry-optimized La2WAu structure.

The energy above the most stable polymorph in this dataset is 445 meV/atom. The value obtained for the formation energy from the elements is 0.54 eV per atom. The volume is 300.15 Å³ per cell.

The space group is R3m (No. 160, hexagonal axes) and the conventional cell measures 3.4113, 3.4113 and 29.7831 Å, with angles of 90.00, 90.00 and 120.00 degrees. The inequivalent atoms are La at (0.0000, 0.0000, 0.0000), La at (0.0000, 0.0000, 0.2293), W at (0.0000, 0.0000, 0.4834) and Au at (0.0000, 0.0000, 0.7512).

## V2GeRuW (GGA-PBE)

Data for a geometry-optimized V2GeRuW structure.

The value obtained for the formation energy from the elements is 1.30 eV per atom. The volume is 101.49 Å³ per cell.

The space group is P4/mmm (No. 123) and the conventional cell measures 4.593, 4.593 and 4.810 Å, with angles of 90.00, 90.00 and 90.00 degrees. The inequivalent atoms are V at (0.000, 0.500, 0.000), Ge at (0.000, 0.000, 0.500), Ru at (0.500, 0.500, 0.000) and W at (0.500, 0.500, 0.500).

## Rb4Pu3UO12 (GGA-PBE)

Data for a geometry-optimized Rb4Pu3UO12 structure.

The volume is 651.16 Å³ per cell. Its energy relative to the elements, uncorrected is -52.949 eV/f.u.

The space group is Im-3m (No. 229) and the conventional cell measures 8.668, 8.668 and 8.668 Å, with angles of 90.00, 90.00 and 90.00 degrees. The inequivalent atoms are Rb at (0.250, 0.250, 0.250), Pu at (0.000, 0.000, 0.500), U at (0.000, 0.000, 0.000), O at (0.000, 0.000, 0.243) and O at (0.000, 0.250, 0.500).

## ThZr2 (GGA-PBE)

Data for a geometry-optimized ThZr2 structure.

The value obtained for the formation energy from the elements is 0.08 eV per atom. The volume is 154.30 Å³ per cell.

The space group is I4/mmm (No. 139) and the conventional cell measures 3.916, 3.916 and 10.060 Å, with angles of 90.00, 90.00 and 90.00 degrees. The inequivalent atoms are Th at (0.000, 0.000, 0.000) and Zr at (0.000, 0.000, 0.325).

## CrCo2Mo (GGA-PBE)

Data for a geometry-optimized CrCo2Mo structure.

The energy above the most stable polymorph in this dataset is 2 meV/atom. The value obtained for the formation energy from the elements is 0.04 eV per atom. The volume is 95.62 Å³ per cell.

The space group is I4/mmm (No. 139) and the conventional cell measures 3.621, 3.621 and 7.293 Å, with angles of 90.00, 90.00 and 90.00 degrees. The inequivalent atoms are Cr at (0.000, 0.000, 0.000), Co at (0.000, 0.500, 0.250) and Mo at (0.000, 0.000, 0.500).

## LaZr2Ge (GGA-PBE)

Data for a geometry-optimized LaZr2Ge structure.

The value obtained for the formation energy from the elements is 0.02 eV per atom. The volume is 417.06 Å³ per cell.

The space group is I-42d (No. 122) and the conventional cell measures 8.338, 8.338 and 5.999 Å, with angles of 90.00, 90.00 and 90.00 degrees. The inequivalent atoms are La at (0.000, 0.000, 0.000), Zr at (0.192, 0.250, 0.625) and Ge at (0.000, 0.000, 0.500).

## Nd8InPd2 (GGA-PBE)

Data for a geometry-optimized Nd8InPd2 structure.

The energy above the most stable polymorph in this dataset is 71 meV/atom. The value obtained for the formation energy from the elements is -0.28 eV per atom. The volume is 682.29 Å³ per cell.

The space group is C2/m (No. 12) and the conventional cell measures 8.949, 14.079 and 5.633 Å, with angles of 90.00, 105.97 and 90.00 degrees. The inequivalent atoms are Nd at (0.000, 0.243, 0.000), Nd at (0.107, 0.500, 0.810), Nd at (0.203, 0.122, 0.571), In at (0.000, 0.000, 0.000) and Pd at (0.000, 0.303, 0.500).

## K4Rb5Na3 (GGA-PBE)

Data for a geometry-optimized K4Rb5Na3 structure.

The energy above the most stable polymorph in this dataset is 0 meV/atom. The value obtained for the formation energy from the elements is 0.05 eV per atom. The volume is 1708.75 Å³ per cell.

The space group is C2/m (No. 12) and the conventional cell measures 16.489, 7.646 and 13.625 Å, with angles of 90.00, 95.89 and 90.00 degrees. The inequivalent atoms are K at (0.088, 0.000, 0.146), K at (0.233, 0.500, 0.583), Rb at (0.000, 0.000, 0.500), Rb at (0.130, 0.500, 0.944), Rb at (0.181, 0.000, 0.768), Na at (0.000, 0.500, 0.500) and Na at (0.073, 0.500, 0.278).

## Y3ScAs4 (GGA-PBE)

Data for a geometry-optimized Y3ScAs4 structure.

The value obtained for the formation energy from the elements is -1.49 eV per atom. The volume is 380.65 Å³ per cell.

The space group is Cmmm (No. 65) and the conventional cell measures 8.131, 11.500 and 4.071 Å, with angles of 90.00, 90.00 and 90.00 degrees. The inequivalent atoms are Y at (0.000, 0.000, 0.000), Y at (0.250, 0.250, 0.500), Sc at (0.000, 0.500, 0.000), As at (0.000, 0.255, 0.000) and As at (0.240, 0.500, 0.500).